{
  "formula": "CeCuAu2",
  "functional": "GGA-PBE",
  "state": "optimized geometry",
  "lattice_angstrom": [[4.892, 0.000, 0.000], [2.446, 4.236, 0.000], [2.446, 1.412, 3.994]],
  "species": ["Au", "Au", "Cu", "Ce"],
  "frac_coords": [[0.750, 0.750, 0.750], [0.250, 0.250, 0.250], [0.000, 0.000, 0.000], [0.500, 0.500, 0.500]],
  "m_tot_mub_per_fu": 0.65,
  "n_ef_per_ev_atom": 1.44,
  "formation_energy_kcal_per_mol_atoms": -9.07,
  "spacegroup": "Fm-3m, No. 225",
  "relative_energy_mev_per_atom": 135.1
}

***

{
  "formula": "CeCuAu",
  "functional": "GGA-PBE",
  "state": "optimized geometry",
  "lattice_angstrom": [[-2.856, 1.534, -1.562], [-1.848, -0.314, 3.071], [3.923, 3.731, 0.635]],
  "species": ["Cu", "Au", "Ce"],
  "frac_coords": [[0.266, 0.266, 0.533], [0.634, 0.634, 0.268], [0.950, 0.950, 0.899]],
  "m_tot_mub_per_fu": 0.84,
  "n_ef_per_ev_atom": 2.00,
  "formation_energy_kcal_per_mol_atoms": -7.31,
  "spacegroup": "I4mm, No. 107",
  "relative_energy_mev_per_atom": 143.5
}

***

{
  "formula": "Ce3Cu4Au2",
  "functional": "GGA-PBE",
  "state": "optimized geometry",
  "lattice_angstrom": [[4.502, 0.000, 0.000], [-2.251, 4.876, -1.837], [0.000, -0.728, 8.509]],
  "species": ["Cu", "Cu", "Cu", "Cu", "Au", "Au", "Ce", "Ce", "Ce"],
  "frac_coords": [[0.729, 0.457, 0.050], [0.942, 0.885, 0.600], [0.058, 0.115, 0.400], [0.271, 0.543, 0.950], [0.381, 0.762, 0.719], [0.619, 0.238, 0.281], [0.000, 0.000, 0.000], [0.338, 0.676, 0.329], [0.662, 0.324, 0.671]],
  "m_tot_mub_per_fu": 0.98,
  "n_ef_per_ev_atom": 1.72,
  "formation_energy_kcal_per_mol_atoms": -8.13,
  "spacegroup": "C2/m, No. 12"
}

***

{
  "formula": "Ce3Cu2Au4",
  "functional": "GGA-PBE",
  "state": "optimized geometry",
  "lattice_angstrom": [[-2.590, -1.593, -3.527], [5.648, -1.128, -0.563], [-4.218, -5.351, 5.514]],
  "species": ["Ce", "Ce", "Ce", "Cu", "Cu", "Au", "Au", "Au", "Au"],
  "frac_coords": [[0.662, 0.325, 0.665], [0.000, 0.000, 0.000], [0.338, 0.675, 0.335], [0.385, 0.771, 0.713], [0.615, 0.229, 0.287], [0.285, 0.569, 0.936], [0.936, 0.871, 0.613], [0.064, 0.129, 0.387], [0.715, 0.431, 0.064]],
  "m_tot_mub_per_fu": 1.52,
  "n_ef_per_ev_atom": 1.90,
  "formation_energy_kcal_per_mol_atoms": -12.48,
  "spacegroup": "C2/m, No. 12"
}

***

{
  "formula": "CeCuAu",
  "functional": "GGA-PBE",
  "state": "optimized geometry",
  "lattice_angstrom": [[4.577, -0.001, 0.000], [-2.287, 3.964, 0.000], [0.000, 0.000, 6.874]],
  "species": ["Cu", "Cu", "Au", "Au", "Ce", "Ce"],
  "frac_coords": [[0.667, 0.833, 0.250], [0.333, 0.167, 0.750], [0.667, 0.833, 0.750], [0.333, 0.167, 0.250], [0.000, 0.500, 0.000], [0.000, 0.500, 0.500]],
  "m_tot_mub_per_fu": 0.40,
  "n_ef_per_ev_atom": 1.75,
  "formation_energy_kcal_per_mol_atoms": -10.62,
  "spacegroup": "P6_3/mmc, No. 194",
  "relative_energy_mev_per_atom": 0.0
}

***

{
  "formula": "Ce2Cu3Au",
  "functional": "GGA-PBE",
  "state": "optimized geometry",
  "lattice_angstrom": [[3.814, 0.000, -1.015], [-0.288, 3.806, -1.082], [0.224, 0.369, 8.513]],
  "species": ["Ce", "Ce", "Au", "Cu", "Cu", "Cu"],
  "frac_coords": [[0.129, 0.129, 0.258], [0.869, 0.369, 0.738], [0.453, 0.953, 0.906], [0.290, 0.790, 0.580], [0.554, 0.554, 0.108], [0.705, 0.705, 0.410]],
  "m_tot_mub_per_fu": 1.88,
  "n_ef_per_ev_atom": 2.27,
  "formation_energy_kcal_per_mol_atoms": -5.62,
  "spacegroup": "Imm2, No. 44"
}

***

{
  "formula": "CeCu6Au6",
  "functional": "GGA-PBE",
  "state": "optimized geometry",
  "lattice_angstrom": [[0.433, 4.514, 2.566], [-2.534, -0.389, 6.402], [5.965, 0.487, 3.428]],
  "species": ["Cu", "Cu", "Cu", "Cu", "Cu", "Cu", "Ce", "Au", "Au", "Au", "Au", "Au", "Au"],
  "frac_coords": [[0.500, 0.235, 0.765], [0.500, 0.500, 0.000], [0.500, 0.000, 0.500], [0.000, 0.500, 0.000], [0.000, 0.000, 0.500], [0.500, 0.765, 0.235], [0.000, 0.000, 0.000], [0.000, 0.662, 0.338], [0.657, 0.343, 0.343], [0.000, 0.338, 0.662], [0.343, 0.657, 0.657], [0.691, 0.809, 0.809], [0.309, 0.191, 0.191]],
  "m_tot_mub_per_fu": 0.66,
  "n_ef_per_ev_atom": 0.70,
  "formation_energy_kcal_per_mol_atoms": -4.96,
  "spacegroup": "Immm, No. 71"
}

***

{
  "formula": "CeCuAu2",
  "functional": "GGA-PBE",
  "state": "optimized geometry",
  "lattice_angstrom": [[-1.302, -0.736, -3.888], [-1.096, -4.127, 3.379], [-6.693, 3.128, 1.649]],
  "species": ["Au", "Au", "Au", "Au", "Ce", "Ce", "Cu", "Cu"],
  "frac_coords": [[0.639, 0.277, 0.055], [0.361, 0.723, 0.945], [0.639, 0.277, 0.445], [0.361, 0.723, 0.555], [0.066, 0.133, 0.750], [0.934, 0.867, 0.250], [0.776, 0.553, 0.750], [0.224, 0.447, 0.250]],
  "m_tot_mub_per_fu": 0.54,
  "n_ef_per_ev_atom": 1.58,
  "formation_energy_kcal_per_mol_atoms": -12.19,
  "spacegroup": "Cmcm, No. 63",
  "relative_energy_mev_per_atom": 0.0
}

***

{
  "formula": "CeCu2Au4",
  "functional": "GGA-PBE",
  "state": "optimized geometry",
  "lattice_angstrom": [[-3.710, 3.315, -1.734], [-4.184, -2.108, -3.123], [-4.517, 0.853, 3.251]],
  "species": ["Au", "Au", "Au", "Au", "Cu", "Cu", "Ce"],
  "frac_coords": [[0.300, 0.000, 0.399], [0.300, 0.399, 0.000], [0.700, 0.000, 0.601], [0.700, 0.601, 0.000], [0.250, 0.500, 0.500], [0.750, 0.500, 0.500], [0.000, 0.000, 0.000]],
  "m_tot_mub_per_fu": 0.86,
  "n_ef_per_ev_atom": 1.10,
  "formation_energy_kcal_per_mol_atoms": -7.68,
  "spacegroup": "C2/m, No. 12"
}

***

{
  "formula": "CeCu2Au",
  "functional": "GGA-PBE",
  "state": "optimized geometry",
  "lattice_angstrom": [[-0.842, 1.359, -3.858], [-4.247, -2.004, 2.481], [-1.545, 6.543, 2.641]],
  "species": ["Ce", "Ce", "Au", "Au", "Cu", "Cu", "Cu", "Cu"],
  "frac_coords": [[0.739, 0.478, 0.500], [0.596, 0.192, 0.000], [0.298, 0.595, 0.799], [0.298, 0.595, 0.201], [0.457, 0.915, 0.500], [0.894, 0.787, 0.000], [0.024, 0.048, 0.315], [0.024, 0.048, 0.685]],
  "m_tot_mub_per_fu": 0.37,
  "n_ef_per_ev_atom": 1.34,
  "formation_energy_kcal_per_mol_atoms": -7.74,
  "spacegroup": "Amm2, No. 38"
}

***

{
  "formula": "Ce2Cu5Au12",
  "functional": "GGA-PBE",
  "state": "optimized geometry",
  "lattice_angstrom": [[-6.686, 0.977, -2.325], [-1.523, -6.757, -1.756], [-3.489, -1.891, 5.942]],
  "species": ["Au", "Au", "Au", "Au", "Au", "Au", "Au", "Au", "Au", "Au", "Au", "Au", "Cu", "Cu", "Cu", "Cu", "Cu", "Ce", "Ce"],
  "frac_coords": [[0.134, 0.663, 0.663], [0.302, 0.698, 0.000], [0.302, 0.000, 0.698], [0.000, 0.302, 0.698], [0.663, 0.134, 0.663], [0.698, 0.000, 0.302], [0.663, 0.663, 0.134], [0.866, 0.337, 0.337], [0.000, 0.698, 0.302], [0.337, 0.337, 0.866], [0.337, 0.866, 0.337], [0.698, 0.302, 0.000], [0.095, 0.095, 0.095], [0.000, 0.000, 0.500], [0.905, 0.905, 0.905], [0.000, 0.500, 0.000], [0.500, 0.000, 0.000], [0.659, 0.659, 0.659], [0.341, 0.341, 0.341]],
  "m_tot_mub_per_fu": 2.15,
  "n_ef_per_ev_atom": 1.03,
  "formation_energy_kcal_per_mol_atoms": -5.22,
  "spacegroup": "R-3m, No. 166"
}